CuI2N6 | PBE | relaxed

Lattice parameters (Å, degrees): 6.1479 6.1479 6.4841 90.00 90.00 90.00
Space group I4/mmm (No. 139)
Unique sites:
Cu: 0.0000 0.0000 0.0000 x2
I: 0.0000 0.5000 0.2500 x4
N: 0.0000 0.0000 0.4141 x4
N: 0.2109 0.2109 0.0000 x8

D(E_F): 5.385 states/eV/f.u.
ΔE_f (raw): 1593 kJ/mol of formula units

***

Tb2Y6Ho3Mg | PBE | relaxed

Lattice parameters (Å, degrees): 6.1280 10.6190 11.7073 90.00 100.11 90.00
Space group C2/m (No. 12)
Unique sites:
Tb: 0.0000 0.1665 0.0000 x4
Y: 0.2488 0.3339 0.2492 x8
Y: 0.2503 0.0000 0.2499 x4
Ho: 0.0000 0.0000 0.5000 x2
Ho: 0.0000 0.3344 0.5000 x4
Mg: 0.0000 0.5000 0.0000 x2

D(E_F): 18.429 states/eV/f.u.
Total energy: -125.993 eV per cell

***

EuErP | PBE | relaxed

Lattice parameters (Å, degrees): 3.9900 3.9900 6.6942 90.00 90.00 120.00
Space group P3m1 (No. 156)
Unique sites:
Eu: 0.0000 0.0000 0.0000 x1
Er: 0.6667 0.3333 0.4855 x1
P: 0.3333 0.6667 0.2714 x1

D(E_F): 9.320 states/eV/f.u.
Total energy: -22.880 eV per cell

***

MnFe2Se | PBE | relaxed

Lattice parameters (Å, degrees): 2.9163 2.9163 23.1484 90.00 90.00 120.00
Space group R-3m (No. 166, hexagonal axes)
Unique sites:
Mn: 0.0000 0.0000 0.0000 x3
Fe: 0.0000 0.0000 0.2465 x6
Se: 0.0000 0.0000 0.5000 x3

D(E_F): 4.890 states/eV/f.u.
ΔE_f (raw): 148 kJ/mol of formula units

***

FeTe2CS | PBE | relaxed

Lattice parameters (Å, degrees): 5.1357 5.1357 3.5199 90.00 90.00 90.00
Space group P4/mmm (No. 123)
Unique sites:
Fe: 0.0000 0.0000 0.0000 x1
Te: 0.0000 0.5000 0.0000 x2
C: 0.0000 0.0000 0.5000 x1
S: 0.5000 0.5000 0.5000 x1

D(E_F): 4.531 states/eV/f.u.
ΔE_f (raw): 351 kJ/mol of formula units

***

PmPr2Zn2Ge2 | PBE | relaxed

Lattice parameters (Å, degrees): 4.2061 4.2061 34.8719 90.00 90.00 120.00
Space group R-3m (No. 166, hexagonal axes)
Unique sites:
Pm: 0.0000 0.0000 0.0000 x3
Pr: 0.0000 0.0000 0.1216 x6
Zn: 0.0000 0.0000 0.3953 x6
Ge: 0.0000 0.0000 0.2740 x6

D(E_F): 5.309 states/eV/f.u.
Total energy: -88.724 eV per cell

***

KRuSN2 | PBE | relaxed

Lattice parameters (Å, degrees): 4.6639 4.6639 5.9083 90.00 90.00 90.00
Space group P4/mmm (No. 123)
Unique sites:
K: 0.0000 0.0000 0.0000 x1
Ru: 0.5000 0.5000 0.5000 x1
S: 0.0000 0.0000 0.5000 x1
N: 0.0000 0.5000 0.0000 x2

D(E_F): 4.663 states/eV/f.u.
ΔE_f (raw): 1383 kJ/mol of formula units

***

PdRu2PtAu | PBE | relaxed

Lattice parameters (Å, degrees): 4.8273 4.8273 4.8485 90.00 90.00 90.00
Space group P4/mmm (No. 123)
Unique sites:
Pd: 0.0000 0.0000 0.0000 x1
Ru: 0.0000 0.5000 0.5000 x2
Pt: 0.5000 0.5000 0.0000 x1
Au: 0.0000 0.0000 0.5000 x1

D(E_F): 6.659 states/eV/f.u.
Total energy: -23.016 eV per cell